i) A plane-wave DFT calculation with meta-GGA SCAN was carried out for a crystal of KTlIn relaxed with PBEsol.

Output
**Calculated density**: 6.4 g/cm3
**DOS at the Fermi energy**: 1.47 states/eV per cell

Cell: 3.6430 3.6430 7.4221 Å, 104.21 104.21 90.00°
Closest atoms and distances in Å follow each position.
Fractional coordinates of all 3 atoms:
1 Tl 0.3479 0.3479 0.6957  4 In 3.21
2 K 0.6671 0.6671 0.3342  4 Tl 3.60, 4 In 3.61, 4 K 3.64
3 In 0.9850 0.9850 0.9700  4 Tl 3.21


ii) A plane-wave DFT calculation with meta-GGA SCAN was carried out for a crystal of KTlIn relaxed with PBEsol.

Output
**Calculated density**: 6.6 g/cm3
**DOS at the Fermi energy**: 0.96 states/eV per cell

Cell: 3.7479 5.2625 5.2625 Å, 120.00 90.00 90.00°
Closest atoms and distances in Å follow each position.
Fractional coordinates of all 3 atoms:
1 Tl 0.5000 0.6667 0.3333  3 In 3.04
2 K 0.0000 0.3333 0.6667  6 In 3.57, 6 Tl 3.57, 2 K 3.75
3 In 0.5000 0.0000 0.0000  3 Tl 3.04


Which structure is the least stable? The one labeled i).


i) A plane-wave DFT calculation with meta-GGA SCAN was carried out for a crystal of K2TlIn relaxed with PBEsol.

Output
**Calculated density**: 4.8 g/cm3
**DOS at the Fermi energy**: 2.80 states/eV per cell

Cell: 4.6598 5.2185 5.6262 Å, 90.00 90.00 90.00°
Closest atoms and distances in Å follow each position.
Fractional coordinates of all 4 atoms:
1 In 0.0000 0.5000 0.5000  4 Tl 3.50, 8 K 3.65-3.84
2 K 0.0000 0.0000 0.0000  4 K 3.50, 4 Tl 3.65, 4 In 3.84
3 K 0.5000 0.5000 0.0000  4 K 3.50, 4 In 3.65, 4 Tl 3.84
4 Tl 0.5000 0.0000 0.5000  4 In 3.50, 8 K 3.65-3.84


ii) A plane-wave DFT calculation with meta-GGA SCAN was carried out for a crystal of K2TlIn relaxed with PBEsol.

Output
**Calculated density**: 4.2 g/cm3
**DOS at the Fermi energy**: 1.60 states/eV per cell

Cell: 3.9666 3.9666 9.8837 Å, 90.00 90.00 90.00°
Closest atoms and distances in Å follow each position.
Fractional coordinates of all 4 atoms:
1 Tl 0.0000 0.0000 0.5446  4 In 3.22, 4 K 3.59
2 K 0.0000 0.0000 0.9333  4 In 3.61, 1 Tl 3.84, 4 K 3.97
3 K 0.5000 0.5000 0.3182  4 Tl 3.59, 1 In 3.81, 4 K 3.97
4 In 0.5000 0.5000 0.7039  4 Tl 3.22


Which structure is the least stable? The one labeled i).


i) A plane-wave DFT calculation with meta-GGA SCAN was carried out for a crystal of K2TlIn relaxed with PBEsol.

Output
**Calculated density**: 5.4 g/cm3
**DOS at the Fermi energy**: 0.57 states/eV per cell

Cell: 5.5823 5.5823 5.5823 Å, 60.00 60.00 60.00°
Closest atoms and distances in Å follow each position.
Fractional coordinates of all 4 atoms:
1 Tl 0.5000 0.5000 0.5000  4 K 3.42, 4 In 3.42
2 K 0.0000 0.0000 0.0000  4 In 3.42, 4 K 3.42
3 K 0.7500 0.7500 0.7500  4 Tl 3.42, 4 K 3.42
4 In 0.2500 0.2500 0.2500  4 Tl 3.42, 4 K 3.42


ii) A plane-wave DFT calculation with meta-GGA SCAN was carried out for a crystal of K2TlIn relaxed with PBEsol.

Output
**Calculated density**: 4.6 g/cm3
**DOS at the Fermi energy**: 2.03 states/eV per cell

Cell: 3.8732 6.1165 7.0388 Å, 114.52 105.97 90.00°
Closest atoms and distances in Å follow each position.
Fractional coordinates of all 4 atoms:
1 Tl 0.5311 0.5238 0.0623  2 In 2.99
2 K 0.9745 0.9706 0.9491  4 Tl 3.68-3.69, 2 In 3.69, 4 K 3.87-3.90
3 K 0.7774 0.2815 0.5548  2 Tl 3.65, 4 In 3.69-3.70, 4 K 3.87-3.90
4 In 0.2169 0.7241 0.4339  2 Tl 2.99


iii) A plane-wave DFT calculation with meta-GGA SCAN was carried out for a crystal of K2TlIn relaxed with PBEsol.

Output
**Calculated density**: 4.5 g/cm3
**DOS at the Fermi energy**: 1.90 states/eV per cell

Cell: 4.0270 5.2428 7.2582 Å, 90.00 105.92 90.00°
Closest atoms and distances in Å follow each position.
Fractional coordinates of all 4 atoms:
1 Tl 0.3239 0.0000 0.5216  2 In 2.99
2 K 0.0361 0.0000 0.9509  3 Tl 3.61-3.98, 4 In 3.65, 2 K 4.03
3 K 0.7142 0.5000 0.3000  3 In 3.60-4.00, 4 Tl 3.65, 2 K 4.03
4 In 0.4258 0.5000 0.7276  2 Tl 2.99


Which structure is the least stable? The one labeled iii).


i) A plane-wave DFT calculation with meta-GGA SCAN was carried out for a crystal of KIn2W relaxed with PBEsol.

Output
**Calculated density**: 8.3 g/cm3
**DOS at the Fermi energy**: 1.44 states/eV per cell

Cell: 2.9420 2.9420 10.4859 Å, 90.00 90.00 90.00°
Closest atoms and distances in Å follow each position.
Fractional coordinates of all 4 atoms:
1 In 0.0000 0.0000 0.9826  8 In 2.94-3.27, 4 W 2.95
2 In 0.5000 0.5000 0.2237  8 In 2.94-3.27
3 K 0.0000 0.0000 0.5104  4 K 2.94
4 W 0.5000 0.5000 0.7834  4 W 2.94, 4 In 2.95


ii) A plane-wave DFT calculation with meta-GGA SCAN was carried out for a crystal of KIn2W relaxed with PBEsol.

Output
**Calculated density**: 6.6 g/cm3
**DOS at the Fermi energy**: 2.91 states/eV per cell

Cell: 2.9184 4.6781 8.2797 Å, 90.00 90.00 90.00°
Closest atoms and distances in Å follow each position.
Fractional coordinates of all 4 atoms:
1 In 0.0000 0.0000 0.9193  4 W 2.79, 2 In 2.92
2 In 0.5000 0.5000 0.1973  1 W 2.72, 2 In 2.92
3 K 0.0000 0.0000 0.5146  2 K 2.92
4 W 0.5000 0.5000 0.8689  5 In 2.72-2.79, 2 W 2.92


Which structure is the least stable? The one labeled i).


i) A plane-wave DFT calculation with meta-GGA SCAN was carried out for a crystal of La5In relaxed with PBEsol.

Output
**Calculated density**: 7.0 g/cm3
**DOS at the Fermi energy**: 7.75 states/eV per cell

Cell: 3.6474 5.7636 9.2702 Å, 90.00 101.35 90.00°
Closest atoms and distances in Å follow each position.
Fractional coordinates of all 6 atoms:
1 In 0.9958 0.0000 0.9916  10 La 3.37-3.56, 2 In 3.65
2 La 0.3340 0.0000 0.6679  2 In 3.46, 10 La 3.53-3.78
3 La 0.6516 0.0000 0.3031  2 In 3.37, 8 La 3.49-3.76
4 La 0.4567 0.5000 0.9135  8 La 3.34-3.65, 4 In 3.48
5 La 0.7844 0.5000 0.5688  12 La 3.53-3.76
6 La 0.1109 0.5000 0.2218  10 La 3.34-3.65, 2 In 3.56


ii) A plane-wave DFT calculation with meta-GGA SCAN was carried out for a crystal of La5In relaxed with PBEsol.

Output
**Calculated density**: 6.9 g/cm3
**DOS at the Fermi energy**: 6.88 states/eV per cell

Cell: 3.6938 6.6252 8.5717 Å, 105.48 90.00 106.19°
Closest atoms and distances in Å follow each position.
Fractional coordinates of all 6 atoms:
1 In 0.0005 0.0010 0.9979  10 La 3.32-3.65, 2 In 3.69
2 La 0.3289 0.6579 0.6689  8 La 3.34-3.69, 2 In 3.56
3 La 0.6584 0.3168 0.2991  2 In 3.35, 7 La 3.53-3.69
4 La 0.6010 0.2021 0.7519  2 In 3.32, 9 La 3.34-3.69
5 La 0.9487 0.8974 0.3953  11 La 3.53-3.69, 1 In 3.64
6 La 0.2957 0.5915 0.0535  3 In 3.33-3.65, 9 La 3.44-3.69


Which structure is the least stable? The one labeled i).


i) A plane-wave DFT calculation with meta-GGA SCAN was carried out for a crystal of La5In relaxed with PBEsol.

Output
**Calculated density**: 7.1 g/cm3
**DOS at the Fermi energy**: 6.15 states/eV per cell

Cell: 4.9267 5.0007 8.0283 Å, 90.00 107.87 90.00°
Closest atoms and distances in Å follow each position.
Fractional coordinates of all 6 atoms:
1 In 0.5000 0.0000 0.0000  12 La 3.47-3.57
2 La 0.3421 0.5000 0.6843  10 La 3.45-3.74, 2 In 3.47
3 La 0.1694 0.0000 0.3388  10 La 3.48-3.64, 2 In 3.57
4 La 0.0000 0.5000 0.0000  8 La 3.45-3.60, 4 In 3.51
5 La 0.8306 0.0000 0.6612  10 La 3.48-3.64, 2 In 3.57
6 La 0.6579 0.5000 0.3157  10 La 3.45-3.74, 2 In 3.47


ii) A plane-wave DFT calculation with meta-GGA SCAN was carried out for a crystal of La5In relaxed with PBEsol.

Output
**Calculated density**: 7.2 g/cm3
**DOS at the Fermi energy**: 7.42 states/eV per cell

Cell: 5.7991 6.1129 6.1129 Å, 120.00 90.00 90.00°
Closest atoms and distances in Å follow each position.
Fractional coordinates of all 6 atoms:
1 In 0.5000 0.0000 0.0000  12 La 3.46-3.53
2 La 0.0000 0.3095 0.3095  10 La 3.28-3.66, 2 In 3.46
3 La 0.0000 0.6905 0.0000  10 La 3.28-3.66, 2 In 3.46
4 La 0.0000 0.0000 0.6905  10 La 3.28-3.66, 2 In 3.46
5 La 0.5000 0.3333 0.6667  3 In 3.53, 9 La 3.53-3.59
6 La 0.5000 0.6667 0.3333  3 In 3.53, 9 La 3.53-3.59


Which structure is the least stable? The one labeled ii).


i) A plane-wave DFT calculation with meta-GGA SCAN was carried out for a crystal of LaIn2Mo relaxed with PBEsol.

Output
**Calculated density**: 8.2 g/cm3
**DOS at the Fermi energy**: 3.51 states/eV per cell

Cell: 3.4412 3.7014 7.4286 Å, 90.00 90.00 90.00°
Closest atoms and distances in Å follow each position.
Fractional coordinates of all 4 atoms:
1 In 0.0000 0.0000 0.9631  4 Mo 2.81, 4 In 3.10
2 In 0.5000 0.5000 0.2047  1 Mo 3.04, 4 In 3.10
3 La 0.0000 0.0000 0.5361  5 In 3.17-3.53, 4 Mo 3.18, 2 La 3.44
4 Mo 0.5000 0.5000 0.7961  5 In 2.81-3.04


ii) A plane-wave DFT calculation with meta-GGA SCAN was carried out for a crystal of LaIn2Mo relaxed with PBEsol.

Output
**Calculated density**: 8.6 g/cm3
**DOS at the Fermi energy**: 2.35 states/eV per cell

Cell: 4.5485 4.5456 5.3876 Å, 114.95 114.97 90.00°
Closest atoms and distances in Å follow each position.
Fractional coordinates of all 4 atoms:
1 In 0.7501 0.7501 0.5002  4 Mo 3.14, 4 La 3.14, 4 In 3.22
2 In 0.2499 0.2499 0.4998  4 Mo 3.14, 4 La 3.14, 4 In 3.22
3 La 0.5000 0.0000 0.0000  8 In 3.14, 4 Mo 3.22
4 Mo 0.0000 0.5000 0.0000  8 In 3.14, 4 La 3.22


Which structure is the least stable? The one labeled i).


i) A plane-wave DFT calculation with meta-GGA SCAN was carried out for a crystal of LaScIn2Mo relaxed with PBEsol.

Output
**Calculated density**: 5.6 g/cm3
**DOS at the Fermi energy**: 6.36 states/eV per cell

Cell: 4.7025 5.6864 5.6864 Å, 90.00 90.00 90.00°
Closest atoms and distances in Å follow each position.
Fractional coordinates of all 5 atoms:
1 Sc 0.5000 0.5000 0.5000  8 In 3.69, 4 Mo 4.02
2 Mo 0.5000 0.0000 0.0000  2 La 2.35
3 In 0.0000 0.0000 0.5000  2 La 2.84
4 In 0.0000 0.5000 0.0000  2 La 2.84
5 La 0.0000 0.0000 0.0000  2 Mo 2.35


ii) A plane-wave DFT calculation with meta-GGA SCAN was carried out for a crystal of LaScIn2Mo relaxed with PBEsol.

Output
**Calculated density**: 5.7 g/cm3
**DOS at the Fermi energy**: 4.25 states/eV per cell

Cell: 5.3664 5.3664 5.1695 Å, 90.00 90.00 90.00°
Closest atoms and distances in Å follow each position.
Fractional coordinates of all 5 atoms:
1 Sc 0.0000 0.0000 0.0000  2 La 2.58, 4 In 2.68
2 Mo 0.5000 0.5000 0.5000  8 In 3.73, 4 La 3.79
3 In 0.0000 0.5000 0.0000  2 Sc 2.68
4 In 0.5000 0.0000 0.0000  2 Sc 2.68
5 La 0.0000 0.0000 0.5000  2 Sc 2.58


Which structure is the least stable? The one labeled i).


i) A plane-wave DFT calculation with meta-GGA SCAN was carried out for a crystal of La2InSb relaxed with PBEsol.

Output
**Calculated density**: 6.9 g/cm3
**DOS at the Fermi energy**: 3.09 states/eV per cell

Cell: 4.4132 4.7111 6.3759 Å, 111.68 90.00 90.00°
Closest atoms and distances in Å follow each position.
Fractional coordinates of all 4 atoms:
1 Sb 0.0000 0.5380 0.0760  2 In 3.04, 5 La 3.28-3.29
2 La 0.5000 0.9871 0.9743  3 In 3.23-3.58, 4 Sb 3.28
3 La 0.0000 0.2601 0.5202  4 In 3.27, 3 Sb 3.29-3.53
4 In 0.5000 0.7148 0.4296  2 Sb 3.04, 5 La 3.23-3.27


ii) A plane-wave DFT calculation with meta-GGA SCAN was carried out for a crystal of La2InSb relaxed with PBEsol.

Output
**Calculated density**: 7.3 g/cm3
**DOS at the Fermi energy**: 2.08 states/eV per cell

Cell: 4.0621 4.0621 7.0649 Å, 90.00 90.00 90.00°
Closest atoms and distances in Å follow each position.
Fractional coordinates of all 4 atoms:
1 Sb 0.5000 0.5000 0.0000  8 La 3.33, 2 In 3.53
2 La 0.0000 0.0000 0.7614  4 Sb 3.33, 2 La 3.37-3.69, 4 In 3.41
3 La 0.0000 0.0000 0.2386  4 Sb 3.33, 2 La 3.37-3.69, 4 In 3.41
4 In 0.5000 0.5000 0.5000  8 La 3.41, 2 Sb 3.53


Which structure is the least stable? The one labeled ii).


i) A plane-wave DFT calculation with meta-GGA SCAN was carried out for a crystal of LaIn2Te relaxed with PBEsol.

Output
**Calculated density**: 7.5 g/cm3
**DOS at the Fermi energy**: 1.87 states/eV per cell

Cell: 4.0740 4.0740 6.6359 Å, 90.00 90.00 90.00°
Closest atoms and distances in Å follow each position.
Fractional coordinates of all 4 atoms:
1 In 0.0000 0.0000 0.7321  1 In 3.08, 4 Te 3.27, 4 La 3.39
2 In 0.0000 0.0000 0.2679  1 In 3.08, 4 Te 3.27, 4 La 3.39
3 La 0.5000 0.5000 0.0000  2 Te 3.32, 8 In 3.39
4 Te 0.5000 0.5000 0.5000  8 In 3.27, 2 La 3.32


ii) A plane-wave DFT calculation with meta-GGA SCAN was carried out for a crystal of LaIn2Te relaxed with PBEsol.

Output
**Calculated density**: 7.5 g/cm3
**DOS at the Fermi energy**: 2.14 states/eV per cell

Cell: 4.4265 4.4440 6.4209 Å, 110.25 110.16 90.00°
Closest atoms and distances in Å follow each position.
Fractional coordinates of all 4 atoms:
1 In 0.7497 0.7497 0.4994  4 In 3.14
2 In 0.2503 0.2503 0.5006  4 In 3.14
3 La 0.5000 0.0000 0.0000  4 Te 3.14
4 Te 0.0000 0.5000 0.0000  4 La 3.14


Which structure is the least stable? The one labeled i).


i) A plane-wave DFT calculation with meta-GGA SCAN was carried out for a crystal of LaYIn relaxed with PBEsol.

Output
**Calculated density**: 6.4 g/cm3
**DOS at the Fermi energy**: 2.32 states/eV per cell

Cell: 3.5546 3.5546 7.4459 Å, 103.81 103.81 90.00°
Closest atoms and distances in Å follow each position.
Fractional coordinates of all 3 atoms:
1 Y 0.3513 0.3513 0.7026  4 In 3.20, 4 Y 3.55
2 In 0.9931 0.9931 0.9862  4 Y 3.20, 4 La 3.39, 4 In 3.55
3 La 0.6556 0.6556 0.3113  4 In 3.39, 4 La 3.55, 4 Y 3.72


ii) A plane-wave DFT calculation with meta-GGA SCAN was carried out for a crystal of LaYIn relaxed with PBEsol.

Output
**Calculated density**: 6.1 g/cm3
**DOS at the Fermi energy**: 3.94 states/eV per cell

Cell: 5.0950 5.0950 5.0950 Å, 60.00 60.00 60.00°
Closest atoms and distances in Å follow each position.
Fractional coordinates of all 3 atoms:
1 In 0.0000 0.0000 0.0000  4 Y 3.12
2 La 0.5000 0.5000 0.5000  4 Y 3.12
3 Y 0.2500 0.2500 0.2500  4 La 3.12, 4 In 3.12


Which structure is the least stable? The one labeled ii).


i) A plane-wave DFT calculation with meta-GGA SCAN was carried out for a crystal of Li5In relaxed with PBEsol.

Output
**Calculated density**: 2.2 g/cm3
**DOS at the Fermi energy**: 2.35 states/eV per cell

Cell: 4.7997 5.2117 5.2117 Å, 120.00 90.00 90.00°
Closest atoms and distances in Å follow each position.
Fractional coordinates of all 6 atoms:
1 In 0.0000 0.0000 0.0000  6 Li 3.01
2 Li 0.0000 0.6667 0.3333  9 Li 2.83-3.01, 3 In 3.01
3 Li 0.0000 0.3333 0.6667  9 Li 2.83-3.01, 3 In 3.01
4 Li 0.5000 0.5000 0.5000  8 Li 2.61-2.83
5 Li 0.5000 0.0000 0.5000  8 Li 2.61-2.83
6 Li 0.5000 0.5000 0.0000  8 Li 2.61-2.83


ii) A plane-wave DFT calculation with meta-GGA SCAN was carried out for a crystal of Li5In relaxed with PBEsol.

Output
**Calculated density**: 2.3 g/cm3
**DOS at the Fermi energy**: 2.13 states/eV per cell

Cell: 4.8658 5.0988 5.0988 Å, 120.00 90.00 90.00°
Closest atoms and distances in Å follow each position.
Fractional coordinates of all 6 atoms:
1 Li 0.0000 0.3177 0.3177  10 Li 2.81-3.02, 2 In 2.92
2 Li 0.0000 0.6823 0.0000  10 Li 2.81-3.02, 2 In 2.92
3 Li 0.0000 0.0000 0.6823  10 Li 2.81-3.02, 2 In 2.92
4 Li 0.5000 0.3333 0.6667  9 Li 2.94-2.99, 3 In 2.94
5 Li 0.5000 0.6667 0.3333  9 Li 2.94-2.99, 3 In 2.94
6 In 0.5000 0.0000 0.0000  12 Li 2.92-2.94


Which structure is the least stable? The one labeled i).